# Pm2PrY5Er (PBE-GGA, relaxed)
# calculated volume	598.6	Å³/cell
# calculated formation energy	0.25	eV/atom
# E	-5.43	eV/atom
# mass density	5.8	g cm⁻³
data_Pm2PrY5Er
_cell_length_a 8.8107
_cell_length_b 8.8107
_cell_length_c 9.9136
_cell_angle_alpha 116.38
_cell_angle_beta 116.38
_cell_angle_gamma 90.00
_space_group_name_H-M_alt 'P 1'
_space_group_IT_number 1
loop_
_space_group_symop_operation_xyz
'x,y,z'
loop_
_atom_site_label
_atom_site_type_symbol
_atom_site_fract_x
_atom_site_fract_y
_atom_site_fract_z
Pm1 Pm 0.6157 0.1157 0.0000
Y1 Y 0.5723 0.6553 0.7276
Er1 Er 0.2500 0.7500 0.5000
Y2 Y 0.4277 0.3447 0.2724
Y3 Y 0.5000 0.5000 0.0000
Er2 Er 0.7500 0.2500 0.5000
Pm2 Pm 0.1157 0.3843 0.0000
Pm3 Pm 0.3843 0.8843 0.0000
Pr1 Pr 0.7500 0.7500 0.5000
Y4 Y 0.0723 0.5723 0.7276
Y5 Y 0.6553 0.1553 0.7276
Y6 Y 0.0000 0.0000 0.0000
Y7 Y 0.1553 0.0723 0.7276
Pm4 Pm 0.8843 0.6157 0.0000
Y8 Y 0.9277 0.4277 0.2724
Y9 Y 0.3447 0.8447 0.2724
Y10 Y 0.8447 0.9277 0.2724
Pr2 Pr 0.2500 0.2500 0.5000

# Pm6Pr3YEr2 (PBE-GGA, relaxed)
# calculated volume	408.8	Å³/cell
# calculated formation energy	0.02	eV/atom
# E	-4.85	eV/atom
# mass density	7.0	g cm⁻³
data_Pm6Pr3YEr2
_cell_length_a 6.3116
_cell_length_b 6.3116
_cell_length_c 12.0372
_cell_angle_alpha 95.02
_cell_angle_beta 95.02
_cell_angle_gamma 120.01
_space_group_name_H-M_alt 'P 1'
_space_group_IT_number 1
loop_
_space_group_symop_operation_xyz
'x,y,z'
loop_
_atom_site_label
_atom_site_type_symbol
_atom_site_fract_x
_atom_site_fract_y
_atom_site_fract_z
Pm1 Pm 0.9178 0.5834 0.7554
Pm2 Pm 0.7478 0.7478 0.2446
Pm3 Pm 0.0822 0.4166 0.2446
Pr1 Pr 0.8332 0.1668 0.5000
Pr2 Pr 0.5000 0.5000 0.5000
Pm4 Pm 0.4166 0.0822 0.2446
Pm5 Pm 0.5834 0.9178 0.7554
Y1 Y 0.0000 0.0000 0.0000
Er1 Er 0.6666 0.3334 0.0000
Pm6 Pm 0.2522 0.2522 0.7554
Er2 Er 0.3334 0.6666 0.0000
Pr3 Pr 0.1668 0.8332 0.5000

# PmPr3Y6Er2 (PBE-GGA, relaxed)
# calculated volume	396.1	Å³/cell
# calculated formation energy	0.02	eV/atom
# E	-5.57	eV/atom
# mass density	6.0	g cm⁻³
data_PmPr3Y6Er2
_cell_length_a 6.2483
_cell_length_b 6.2483
_cell_length_c 11.8954
_cell_angle_alpha 95.01
_cell_angle_beta 95.01
_cell_angle_gamma 119.97
_space_group_name_H-M_alt 'P 1'
_space_group_IT_number 1
loop_
_space_group_symop_operation_xyz
'x,y,z'
loop_
_atom_site_label
_atom_site_type_symbol
_atom_site_fract_x
_atom_site_fract_y
_atom_site_fract_z
Y1 Y 0.0822 0.4161 0.2464
Y2 Y 0.9178 0.5839 0.7536
Er1 Er 0.6668 0.3332 0.0000
Y3 Y 0.4161 0.0822 0.2464
Pr1 Pr 0.5000 0.5000 0.5000
Y4 Y 0.5839 0.9178 0.7536
Pr2 Pr 0.1669 0.8331 0.5000
Y5 Y 0.7482 0.7482 0.2464
Y6 Y 0.2518 0.2518 0.7536
Pr3 Pr 0.8331 0.1669 0.5000
Pm1 Pm 0.0000 0.0000 0.0000
Er2 Er 0.3332 0.6668 0.0000